1.
The following is a PBE calculation of a relaxed structure of TbPr3SmDy, from the Alexandria database.

Results
density of states at the Fermi level	9.0	states/eV/f.u.
final energy	-56.367	eV per cell

Structure (POSCAR):
```
TbPr3SmDy
1.0
-0.126 3.817 -3.460
-0.535 -7.110 -3.986
-10.267 0.348 0.759
Pr Tb Dy Sm
6 2 2 2
direct
0.834 0.668 0.250
0.665 0.331 0.499
0.166 0.332 0.750
0.335 0.669 0.999
0.665 0.331 0.001
0.335 0.669 0.501
0.165 0.330 0.250
0.835 0.670 0.750
0.501 0.003 0.250
0.499 0.997 0.750
0.000 0.000 0.000
0.000 0.000 0.500
```

=====

2.
The following is a PBE calculation of a relaxed structure of Tb2PrSm2Dy2, from the Alexandria database.

Results
density of states at the Fermi level	9.3	states/eV/f.u.
final energy	-32.572	eV per cell

Structure (POSCAR):
```
Tb2PrSm2Dy2
1.0
5.087 0.000 0.000
-2.543 5.669 0.283
0.000 -1.524 7.905
Sm Dy Pr Tb
2 2 1 2
direct
0.428 0.856 0.286
0.572 0.144 0.714
0.714 0.428 0.145
0.286 0.572 0.855
0.000 0.000 0.000
0.857 0.714 0.570
0.143 0.286 0.430
```

=====

3.
The following is a PBE calculation of a relaxed structure of TbPr2Sm6Dy, from the Alexandria database.

Results
density of states at the Fermi level	14.6	states/eV/f.u.
final energy	-91.886	eV per cell

Structure (POSCAR):
```
TbPr2Sm6Dy
1.0
-0.337 4.630 -8.716
7.642 -4.252 -1.744
-7.652 -4.409 -1.236
Sm Pr Tb Dy
12 4 2 2
direct
0.380 0.501 0.293
0.311 0.981 0.424
0.944 0.876 0.253
0.880 0.293 0.501
0.189 0.576 0.019
0.689 0.019 0.576
0.811 0.424 0.981
0.056 0.124 0.747
0.444 0.253 0.876
0.120 0.707 0.499
0.620 0.499 0.707
0.556 0.747 0.124
0.541 0.193 0.296
0.959 0.704 0.807
0.459 0.807 0.704
0.041 0.296 0.193
0.250 0.982 0.018
0.750 0.018 0.982
0.250 0.407 0.593
0.750 0.593 0.407
```

=====

- Among the records above, which one has the lowest final energy?
  TbPr2Sm6Dy

=====

- What is the density of states at the Fermi level in the third record?
  14.6 states/eV/f.u.

=====

- Number 2 is which compound?
  Tb2PrSm2Dy2

=====

- Which formula does entry 1 have?
  TbPr3SmDy